Record 1
VASP calculation (PBE) on MgTlTc2O8 after structural relaxation.

**Formation energy without anion corrections**: -1.573 eV/atom
**Total energy**: -6.936 eV/atom
**Density of states at the Fermi level**: 0.503 states/eV/atom
**Space-group type**: C2/m (12)

Lattice parameters (Å, degrees): 5.5676 5.5676 7.9847 88.36 88.36 63.30
With the nearest neighbours (Å) after each atom.
Fractional positions:
O 0.7884 0.2890 0.1821  1 Tc 1.78
O 0.2890 0.7884 0.1821  1 Tc 1.78
O 0.7907 0.7907 0.0792  1 Tc 1.75
O 0.7110 0.2116 0.8179  1 Tc 1.78
O 0.2093 0.2093 0.9208  1 Tc 1.75
O 0.3069 0.3069 0.5773  1 Tc 1.75
O 0.2116 0.7110 0.8179  1 Tc 1.78
O 0.6931 0.6931 0.4227  1 Tc 1.75
Tl 0.0000 0.0000 0.5000  6 O 2.94-2.99
Tc 0.6413 0.6413 0.2150  4 O 1.75-1.78
Tc 0.3587 0.3587 0.7850  4 O 1.75-1.78
Mg 0.0000 0.0000 0.0000  6 O 2.06-2.10


Record 2
VASP calculation (PBE) on LaClO after structural relaxation.

**Formation energy without anion corrections**: -2.984 eV/atom
**Total energy**: -6.895 eV/atom
**Density of states at the Fermi level**: 0.000 states/eV/atom
**Space-group type**: P-6m2 (187)

Lattice parameters (Å, degrees): 4.6648 3.9751 3.9751 120.00 90.00 90.00
With the nearest neighbours (Å) after each atom.
Fractional positions:
La 0.1662 0.0000 0.0000  3 O 2.30
Cl 0.6669 0.6667 0.3333  6 La 3.27, 6 O 3.27
O 0.1669 0.3333 0.6667  3 La 2.30


Record 3
VASP calculation (PBE) on Mn2InSe after structural relaxation.

**Formation energy without anion corrections**: 0.026 eV/atom
**Total energy**: -6.114 eV/atom
**Density of states at the Fermi level**: 0.679 states/eV/atom
**Space-group type**: P4mm (99)

Lattice parameters (Å, degrees): 3.2886 3.2886 6.9343 90.00 90.00 90.00
With the nearest neighbours (Å) after each atom.
Fractional positions:
In 0.5000 0.5000 0.8178  5 Mn 2.77-3.00
Mn 0.5000 0.5000 0.2511  4 Se 2.53, 4 Mn 2.76
Mn 0.0000 0.0000 0.0357  1 Se 2.49, 4 Mn 2.76, 4 In 2.77
Se 0.0000 0.0000 0.3954  5 Mn 2.49-2.53


| no. | calculated density (kg/m3) |
| --- | --- |
| 1 | 4153 |
| 2 | 4952 |
| 3 | 6724 |